DFT (GGA-PBE) results for a relaxed Ac8Mg2Cu crystal.

a = 10.416 Å, b = 10.416 Å, c = 7.505 Å
α = 102.43°, β = 102.43°, γ = 32.12°
Sites, in units of the cell vectors:
Ac 0.020 0.020 0.274
Ac 0.204 0.204 0.796
Ac 0.351 0.351 0.538
Ac 0.408 0.408 0.054
Ac 0.592 0.592 0.946
Ac 0.649 0.649 0.462
Ac 0.796 0.796 0.204
Ac 0.980 0.980 0.726
Mg 0.190 0.190 0.244
Mg 0.810 0.810 0.756
Cu 0.500 0.500 0.500

Density of states at the Fermi level ... 1.17 states/eV/atom
Formation energy ... 22 meV/atom